VASP calculation (PBEsol) on a geometry-optimized RbSc3Pt structure.

Computed properties:
density of states at the Fermi level = 0.6078 states/eV per atom
energy relative to the elements = 1.35 eV per atom

Unit cell a=4.765 b=4.765 c=4.765 alpha=90.00 beta=90.00 gamma=90.00
Fractional positions:
Sc1 0.000 0.500 0.000
Sc2 0.000 0.000 0.500
Sc3 0.500 0.000 0.000
Rb1 0.000 0.000 0.000
Pt1 0.500 0.500 0.500


VASP calculation (PBEsol) on a geometry-optimized Rb2PtSe2 structure.

Computed properties:
formation energy without anion corrections = -0.882 eV/atom

Unit cell a=3.785 b=6.558 c=6.558 alpha=69.41 beta=73.23 gamma=73.23
Fractional positions:
Se1 0.500 0.786 0.214
Se2 0.500 0.214 0.786
Rb1 0.198 0.302 0.302
Rb2 0.802 0.698 0.698
Pt1 0.000 0.000 0.000


VASP calculation (PBEsol) on a geometry-optimized RbSnPt3 structure.

Computed properties:
density of states at the Fermi level = 1.0428 states/eV per atom
energy relative to the elements = 0.59 eV per atom

Unit cell a=5.023 b=5.023 c=5.023 alpha=90.00 beta=90.00 gamma=90.00
Fractional positions:
Rb1 0.500 0.500 0.500
Sn1 0.000 0.000 0.000
Pt1 0.000 0.500 0.000
Pt2 0.000 0.000 0.500
Pt3 0.500 0.000 0.000


VASP calculation (PBEsol) on a geometry-optimized Rb2SrZrPt structure.

Computed properties:
density of states at the Fermi level = 0.4138 states/eV per atom
energy relative to the elements = 1.56 eV per atom

Unit cell a=5.957 b=5.957 c=6.270 alpha=90.00 beta=90.00 gamma=90.00
Site moments in Bohr magnetons follow the coordinates.
Fractional positions:
Sr1 0.000 0.000 0.500  0.14
Rb1 0.000 0.500 0.000  0.09
Rb2 0.500 0.000 0.000  0.09
Zr1 0.000 0.000 0.000  1.93
Pt1 0.500 0.500 0.500  0.06


VASP calculation (PBEsol) on a geometry-optimized RbTa3Pt structure.

Computed properties:
density of states at the Fermi level = 1.3413 states/eV per atom
energy relative to the elements = 1.56 eV per atom

Unit cell a=4.996 b=4.996 c=4.996 alpha=90.00 beta=90.00 gamma=90.00
Fractional positions:
Rb1 0.500 0.500 0.500
Pt1 0.000 0.000 0.000
Ta1 0.000 0.500 0.000
Ta2 0.000 0.000 0.500
Ta3 0.500 0.000 0.000


VASP calculation (PBEsol) on a geometry-optimized Rb3TcPt structure.

Computed properties:
density of states at the Fermi level = 2.7181 states/eV per atom
energy relative to the elements = 1.74 eV per atom

Unit cell a=6.088 b=6.088 c=6.088 alpha=90.00 beta=90.00 gamma=90.00
Site moments in Bohr magnetons follow the coordinates.
Fractional positions:
Rb1 0.000 0.500 0.000  0.03
Rb2 0.000 0.000 0.500  0.03
Rb3 0.500 0.000 0.000  0.03
Tc1 0.000 0.000 0.000  2.95
Pt1 0.500 0.500 0.500  0.49


| no. | E (eV per cell) |
| --- | --- |
| 1 | -21.0 |
| 2 | -21.1 |
| 3 | -23.2 |
| 4 | -12.1 |
| 5 | -37.8 |
| 6 | -12.6 |